No. 1
Al2CoSe after structural relaxation, computed with PBE-GGA.

Output
Space-group type ... No. 123
Formation energy without anion corrections ... -148 meV/atom

Geometry as POSCAR:
```
Al2CoSe
1.0
2.840 0.000 0.000
0.000 2.840 0.000
0.000 0.000 7.746
Al Co Se
2 1 1
direct
0.000 0.000 0.186
0.000 0.000 0.814
0.500 0.500 0.000
0.500 0.500 0.500
```

=====

No. 2
Nb2AsS2 after structural relaxation, computed with PBE-GGA.

Output
Space-group type ... No. 127
ΔE to the lowest computed polymorph ... 84 meV/atom
Formation energy without anion corrections ... -345 meV/atom

Geometry as POSCAR:
```
Nb2AsS2
1.0
7.291 0.000 0.000
0.000 7.291 0.000
0.000 0.000 3.040
Nb As S
4 2 4
direct
0.168 0.332 0.000
0.332 0.832 0.000
0.668 0.168 0.000
0.832 0.668 0.000
0.000 0.000 0.500
0.500 0.500 0.500
0.131 0.631 0.500
0.369 0.131 0.500
0.631 0.869 0.500
0.869 0.369 0.500
```

=====

No. 3
K2CoIr after structural relaxation, computed with PBE-GGA.

Output
E_form ... 2.1 eV per formula unit
Space-group type ... No. 99
ΔE to the lowest computed polymorph ... 73 meV/atom

Geometry as POSCAR:
```
K2CoIr
1.0
3.404 0.000 0.000
0.000 3.404 0.000
0.000 0.000 9.995
K Co Ir
2 1 1
direct
0.000 0.000 0.000
0.500 0.500 0.434
0.000 0.000 0.696
0.500 0.500 0.743
```

=====

No. 4
HfOsS3 after structural relaxation, computed with PBE-GGA.

Output
Space-group type ... No. 221
ΔE to the lowest computed polymorph ... 0 meV/atom
Formation energy without anion corrections ... 380 meV/atom

Geometry as POSCAR:
```
HfOsS3
1.0
4.575 0.000 0.000
0.000 4.575 0.000
0.000 0.000 4.575
Hf Os S
1 1 3
direct
0.000 0.000 0.000
0.500 0.500 0.500
0.000 0.500 0.500
0.500 0.000 0.500
0.500 0.500 0.000
```